The following is a PBE calculation of a relaxed Mo2IrC crystal, from the Alexandria database.

a b c (Å): 7.056 7.056 7.056
angles (deg): 24.48 24.48 24.48
Element x y z (fractional)
Mo: 0.224 0.224 0.224
Mo: 0.776 0.776 0.776
Ir: 0.000 0.000 0.000
C: 0.500 0.500 0.500

Results
energy: -0.731 Ry/atom
energy of formation from the pure elements: -0.02 eV per formula unit
space-group type: R-3m (166)